DFT (PBE with a Hubbard U) results for Na2CoAsCO7 after structural relaxation.

```
Na2CoAsCO7
1.0
5.273 0.000 0.000
0.000 6.748 0.000
-0.308 0.000 9.066
Na Co As C O
4 2 2 2 14
Direct
0.233 0.006 0.267 Na
0.233 0.494 0.267 Na
0.767 0.506 0.733 Na
0.767 0.994 0.733 Na
0.215 0.250 0.845 Co
0.785 0.750 0.155 Co
0.294 0.750 0.925 As
0.706 0.250 0.075 As
0.284 0.250 0.579 C
0.716 0.750 0.421 C
0.065 0.250 0.647 O
0.147 0.750 0.091 O
0.215 0.548 0.818 O
0.215 0.952 0.818 O
0.294 0.250 0.442 O
0.376 0.250 0.043 O
0.477 0.250 0.672 O
0.523 0.750 0.328 O
0.624 0.750 0.957 O
0.706 0.750 0.558 O
0.785 0.048 0.182 O
0.785 0.452 0.182 O
0.853 0.250 0.909 O
0.935 0.750 0.353 O
```

Calculated values
Electronic total energy ... -146.90 eV for the cell shown